DFT (PBE) results for a geometry-optimized HoGe4Pd12 structure.

Its total magnetic moment is 0.00 μB per atom. Its energy of formation is -0.29 eV per atom. For the total energy, the calculation gives -0.3903 Ry per atom.

The structure belongs to space group Im-3 (No. 204); the cell edges are 8.518, 8.518 and 8.518 Å and the angles 90.00°, 90.00° and 90.00°. The distinct sites, in fractional coordinates, are Ho at (0.000, 0.000, 0.000), Ge at (0.250, 0.250, 0.250) and Pd at (0.000, 0.160, 0.342).